(w)
Below is a geometry-optimized Ho4TmMg7 structure, with properties calculated at the PBE level.

Size of the total moment, μB per cell: 0.0
Space group: C2/m (12)

```
data_Ho4TmMg7
_chemical_formula_sum 'Ho4 Tm1 Mg7'
_space_group_name_H-M_alt 'P 1'
_space_group_IT_number 1
_space_group_name_Hall 'P 1'
_cell_length_a 5.620
_cell_length_b 10.805
_cell_length_c 6.357
_cell_angle_alpha 86.98
_cell_angle_beta 63.77
_cell_angle_gamma 74.93
loop_
_atom_site_label
_atom_site_type_symbol
_atom_site_fract_x
_atom_site_fract_y
_atom_site_fract_z
Ho1 Ho 0.617 0.221 0.545
Ho2 Ho 0.383 0.779 0.455
Ho3 Ho 0.757 0.675 0.810
Ho4 Ho 0.243 0.325 0.190
Tm1 Tm 0.000 0.000 0.000
Mg1 Mg 0.780 0.923 0.518
Mg2 Mg 0.220 0.077 0.482
Mg3 Mg 0.069 0.681 0.181
Mg4 Mg 0.931 0.319 0.819
Mg5 Mg 0.369 0.504 0.757
Mg6 Mg 0.500 0.000 0.000
Mg7 Mg 0.631 0.496 0.243
```

***

(x)
Below is a geometry-optimized Ho4TmMg7 structure, with properties calculated at the PBE level.

Size of the total moment, μB per cell: 0.0
Space group: P-3m1 (164)

```
data_Ho4TmMg7
_chemical_formula_sum 'Ho4 Tm1 Mg7'
_space_group_name_H-M_alt 'P 1'
_space_group_IT_number 1
_space_group_name_Hall 'P 1'
_cell_length_a 5.276
_cell_length_b 5.276
_cell_length_c 13.154
_cell_angle_alpha 90.00
_cell_angle_beta 90.00
_cell_angle_gamma 120.00
loop_
_atom_site_label
_atom_site_type_symbol
_atom_site_fract_x
_atom_site_fract_y
_atom_site_fract_z
Ho1 Ho 0.333 0.667 0.921
Ho2 Ho 0.667 0.333 0.079
Ho3 Ho 0.333 0.667 0.660
Ho4 Ho 0.667 0.333 0.340
Tm1 Tm 0.000 0.000 0.500
Mg1 Mg 0.000 0.000 0.000
Mg2 Mg 0.333 0.667 0.417
Mg3 Mg 0.667 0.333 0.583
Mg4 Mg 0.333 0.667 0.182
Mg5 Mg 0.667 0.333 0.818
Mg6 Mg 0.000 0.000 0.761
Mg7 Mg 0.000 0.000 0.239
```

***

Relative energies, unit meV per atom: (w) 184; (x) 0